No. 1
The following is a DFT calculation (PBE) of a relaxed GdSiAsO crystal.

Summary:
Its symmetry is Pmc2_1 (26). The calculation puts the size of the total moment at 0.0 μB/cell. Its offset from the most stable computed form is 0.000 eV/atom.

The structure in POSCAR format:
```
GdSiAsO
1.0
3.749 0.000 0.000
0.000 6.009 0.000
0.000 0.000 7.070
Gd Si As O
2 2 2 2
Cartesian
0.000 1.497 0.000 Gd
0.000 4.512 3.535 Gd
1.875 0.718 4.313 Si
1.875 5.291 0.778 Si
0.000 1.567 2.989 As
0.000 4.442 6.524 As
1.875 1.549 5.782 O
1.875 4.460 2.247 O
```

No. 2
The following is a DFT calculation (PBE) of a relaxed NdTmFe2Ge2C crystal.

Summary:
Its symmetry is Cm (8). The calculation puts the size of the total moment at 0.0 μB/cell. The calculation puts the total energy at -48.316 eV per cell.

The structure in POSCAR format:
```
NdTmFe2Ge2C
1.0
5.385 -2.003 0.000
5.385 2.003 0.000
-4.335 0.000 5.379
Nd Tm Fe Ge C
1 1 2 2 1
Cartesian
0.000 0.000 0.000 Nd
7.711 0.000 2.262 Tm
-0.038 0.000 3.302 Fe
3.394 0.000 4.251 Fe
-1.333 0.000 5.335 Ge
4.694 0.000 2.269 Ge
1.691 0.000 3.722 C
```

No. 3
The following is a DFT calculation (PBE) of a relaxed AcErNO crystal.

Summary:
Its symmetry is P4/nmm (129). The calculation puts the size of the total moment at 0.0 μB/cell. Its offset from the most stable computed form is 0.000 eV/atom.

The structure in POSCAR format:
```
AcErNO
1.0
4.470 0.000 0.000
0.000 4.470 0.000
0.000 0.000 8.894
Ac Er N O
2 2 2 2
Cartesian
1.118 1.118 1.141 Ac
3.353 3.353 7.753 Ac
1.118 3.353 4.447 Er
3.353 1.118 4.447 Er
1.118 1.118 3.853 N
3.353 3.353 5.041 N
1.118 3.353 0.000 O
3.353 1.118 0.000 O
```

No. 4
The following is a DFT calculation (PBE) of a relaxed SmNi3Ir2 crystal.

Summary:
Its symmetry is P6/mmm (191). The calculation puts the size of the total moment at 0.1 μB/cell. The calculated formation energy comes out at -0.2326 eV/atom.

The structure in POSCAR format:
```
SmNi3Ir2
1.0
5.077 0.000 0.000
-2.539 4.397 0.000
0.000 0.000 4.156
Sm Ni Ir
1 3 2
Cartesian
0.000 0.000 0.000 Sm
-1.269 2.199 2.078 Ni
2.539 0.000 2.078 Ni
1.269 2.199 2.078 Ni
0.000 2.931 0.000 Ir
2.539 1.466 0.000 Ir
```

No. 5
The following is a DFT calculation (PBE) of a relaxed SiTc2W crystal.

Summary:
Its symmetry is P6_3/mmc (194). The calculation puts the size of the total moment at 0.0 μB/cell. The calculation puts the total energy at -75.341 eV per cell.

The structure in POSCAR format:
```
SiTc2W
1.0
4.387 0.000 0.000
-2.193 3.799 0.000
0.000 0.000 7.206
Si Tc W
2 4 2
Cartesian
0.000 2.533 1.801 Si
2.193 1.266 5.404 Si
0.000 2.533 4.130 Tc
0.000 2.533 6.679 Tc
2.193 1.266 0.527 Tc
2.193 1.266 3.076 Tc
0.000 0.000 1.801 W
0.000 0.000 5.404 W
```

No. 6
The following is a DFT calculation (PBE) of a relaxed YIr2Pd crystal.

Summary:
Its symmetry is F-43m (216). The calculation puts the size of the total moment at 0.9 μB/cell. The calculated formation energy comes out at -0.1720 eV/atom.

The structure in POSCAR format:
```
YIr2Pd
1.0
0.000 3.271 3.271
3.271 0.000 3.271
3.271 3.271 0.000
Y Ir Pd
1 2 1
Cartesian
0.000 0.000 0.000 Y
1.635 1.635 1.635 Ir
3.271 3.271 3.271 Ir
4.906 4.906 4.906 Pd
```

No. 7
The following is a DFT calculation (PBE) of a relaxed Tm2LuSi4Au4 crystal.

Summary:
Its symmetry is Immm (71). The calculation puts the size of the total moment at 0.0 μB/cell. The calculation puts the total energy at -55.449 eV per cell.

The structure in POSCAR format:
```
Tm2LuSi4Au4
1.0
-2.127 3.452 7.048
2.127 -3.452 7.048
2.127 3.452 -7.048
Tm Lu Si Au
2 1 4 4
Cartesian
0.000 0.000 1.748 Tm
0.000 0.000 12.349 Tm
0.000 3.452 0.000 Lu
2.127 1.225 0.000 Si
2.127 0.000 4.012 Si
0.000 3.452 3.036 Si
0.000 2.227 7.048 Si
2.127 2.049 -2.339 Au
2.127 2.049 2.339 Au
0.000 1.404 4.709 Au
0.000 1.404 9.387 Au
```

No. 8
The following is a DFT calculation (PBE) of a relaxed Cs2TmSiO4 crystal.

Summary:
Its symmetry is Cmc2_1 (36). The calculation puts the size of the total moment at 1.4 μB/cell. The calculation puts the total energy at -100.926 eV per cell.

The structure in POSCAR format:
```
Cs2TmSiO4
1.0
3.057 -6.870 0.000
3.057 6.870 0.000
0.000 0.000 8.310
Cs Tm Si O
4 2 2 8
Cartesian
3.057 5.920 4.155 Cs
3.057 1.347 5.470 Cs
3.057 -1.347 1.315 Cs
3.057 -5.920 0.000 Cs
3.057 2.672 1.907 Tm
3.057 -2.672 6.061 Tm
3.057 4.298 7.835 Si
3.057 -4.298 3.680 Si
1.326 1.995 2.886 O
3.057 4.775 1.125 O
3.057 2.648 8.010 O
1.326 -1.995 7.041 O
4.789 1.995 2.886 O
3.057 -2.648 3.855 O
3.057 -4.775 5.280 O
4.789 -1.995 7.041 O
```

No. 9
The following is a DFT calculation (PBE) of a relaxed ZrBiAs crystal.

Summary:
Its symmetry is F-43m (216). The calculation puts the size of the total moment at 0.0 μB/cell. Its offset from the most stable computed form is 0.000 eV/atom.

The structure in POSCAR format:
```
ZrBiAs
1.0
0.000 3.453 3.453
3.453 0.000 3.453
3.453 3.453 0.000
Zr Bi As
1 1 1
Cartesian
0.000 0.000 0.000 Zr
1.726 1.726 1.726 Bi
5.179 5.179 5.179 As
```

No. 10
The following is a DFT calculation (PBE) of a relaxed Li2BPd crystal.

Summary:
Its symmetry is F-43m (216). The calculation puts the total energy at -15.806 eV per cell.

The structure in POSCAR format:
```
Li2BPd
1.0
0.000 2.766 2.766
2.766 0.000 2.766
2.766 2.766 0.000
Li B Pd
2 1 1
Cartesian
0.000 0.000 0.000 Li
1.383 1.383 1.383 Li
2.766 2.766 2.766 B
4.149 4.149 4.149 Pd
```

No. 11
The following is a DFT calculation (PBE) of a relaxed NdYLu crystal.

Summary:
Its symmetry is F-43m (216). The calculation puts the size of the total moment at 0.0 μB/cell. The calculated formation energy comes out at 0.7552 eV/atom.

The structure in POSCAR format:
```
NdYLu
1.0
0.000 3.860 3.860
3.860 0.000 3.860
3.860 3.860 0.000
Nd Y Lu
1 1 1
Cartesian
0.000 0.000 0.000 Nd
5.790 5.790 5.790 Y
3.860 3.860 3.860 Lu
```

No. 12
The following is a DFT calculation (PBE) of a relaxed Li2ZnSnSe4 crystal.

Summary:
Its symmetry is Pc (7). The calculation puts the total energy at -59.172 eV per cell.

The structure in POSCAR format:
```
Li2ZnSnSe4
1.0
6.763 0.000 0.000
0.000 7.108 0.000
-6.752 0.000 8.383
Li Zn Sn Se
4 2 2 8
Cartesian
0.000 1.143 0.000 Li
-3.376 5.965 4.192 Li
3.395 2.381 2.054 Li
0.019 4.728 6.245 Li
-3.353 2.315 6.280 Zn
0.023 4.794 2.088 Zn
0.029 1.220 4.170 Sn
-3.347 5.889 8.362 Sn
-0.810 2.446 2.076 Se
-4.185 4.663 6.267 Se
-4.189 1.202 8.329 Se
-0.814 5.907 4.138 Se
-0.866 2.345 6.290 Se
2.510 4.764 2.098 Se
2.599 1.277 4.193 Se
5.975 5.832 0.002 Se
```